# SrLi12Cd6 | Alexandria | GGA-PBE | relaxed
data_SrLi12Cd6
_chemical_formula_sum 'Sr1 Li12 Cd6'
_cell_length_a 7.6871
_cell_length_b 7.6871
_cell_length_c 7.6871
_cell_angle_alpha 102.36
_cell_angle_beta 102.36
_cell_angle_gamma 102.36
_symmetry_space_group_name_H-M 'P 1'
_symmetry_Int_Tables_number 1
_symmetry_space_group_name_Hall 'P 1'
loop_
_atom_site_label
_atom_site_type_symbol
_atom_site_fract_x
_atom_site_fract_y
_atom_site_fract_z
Sr1 Sr 0.0000 0.0000 0.0000
Li1 Li 0.1087 0.5000 0.8913
Li2 Li 0.1087 0.8913 0.5000
Li3 Li 0.1315 0.4126 0.4126
Li4 Li 0.4126 0.1315 0.4126
Li5 Li 0.4126 0.4126 0.1315
Li6 Li 0.5000 0.1087 0.8913
Li7 Li 0.5000 0.8913 0.1087
Li8 Li 0.5874 0.5874 0.8685
Li9 Li 0.5874 0.8685 0.5874
Li10 Li 0.8685 0.5874 0.5874
Li11 Li 0.8913 0.1087 0.5000
Li12 Li 0.8913 0.5000 0.1087
Cd1 Cd 0.2691 0.2691 0.7086
Cd2 Cd 0.2691 0.7086 0.2691
Cd3 Cd 0.2914 0.7309 0.7309
Cd4 Cd 0.7086 0.2691 0.2691
Cd5 Cd 0.7309 0.2914 0.7309
Cd6 Cd 0.7309 0.7309 0.2914
# E_tot (eV/atom): -1.6932
# Formation energy (meV/atom): -107
# Calculated volume (Å³ per atom): 21.95

# CoTeCl | Alexandria | GGA-PBE | relaxed
data_CoTeCl
_chemical_formula_sum 'Co1 Te1 Cl1'
_cell_length_a 4.4387
_cell_length_b 4.4387
_cell_length_c 4.4387
_cell_angle_alpha 60.00
_cell_angle_beta 60.00
_cell_angle_gamma 60.00
_symmetry_space_group_name_H-M 'P 1'
_symmetry_Int_Tables_number 1
_symmetry_space_group_name_Hall 'P 1'
loop_
_atom_site_label
_atom_site_type_symbol
_atom_site_fract_x
_atom_site_fract_y
_atom_site_fract_z
Co1 Co 0.0000 0.0000 0.0000
Te1 Te 0.2500 0.2500 0.2500
Cl1 Cl 0.7500 0.7500 0.7500
# E_tot (eV/atom): -3.7506
# Calculated volume (Å³ per atom): 20.61

# DyGa4Ni3 | Alexandria | GGA-PBE | relaxed
data_DyGa4Ni3
_chemical_formula_sum 'Dy1 Ga4 Ni3'
_cell_length_a 4.0633
_cell_length_b 4.0633
_cell_length_c 7.7796
_cell_angle_alpha 90.00
_cell_angle_beta 90.00
_cell_angle_gamma 90.00
_symmetry_space_group_name_H-M 'P 1'
_symmetry_Int_Tables_number 1
_symmetry_space_group_name_Hall 'P 1'
loop_
_atom_site_label
_atom_site_type_symbol
_atom_site_fract_x
_atom_site_fract_y
_atom_site_fract_z
Dy1 Dy 0.0000 0.0000 0.0000
Ga1 Ga 0.0000 0.5000 0.3210
Ga2 Ga 0.0000 0.5000 0.6790
Ga3 Ga 0.5000 0.0000 0.3210
Ga4 Ga 0.5000 0.0000 0.6790
Ni1 Ni 0.0000 0.0000 0.5000
Ni2 Ni 0.5000 0.5000 0.1476
Ni3 Ni 0.5000 0.5000 0.8524
# E_tot (eV/atom): -4.7051
# Formation energy (meV/atom): -448
# Calculated volume (Å³ per atom): 16.06